# 1
Compound: SmErPu2
Source: the Alexandria database
Functional: PBE-GGA
Structure: relaxed

Cell lengths 3.4147, 3.4147, 10.1252 Å; angles 90.00, 90.00, 90.00 degrees
Last column: nearest neighbours and their distance in Å.
Sites, in units of the cell vectors:
Sm (0.5000, 0.5000, 0.0000)  4 Sm 3.41, 8 Pu 3.53
Pu (0.0000, 0.0000, 0.2547)  4 Pu 3.41, 4 Er 3.46, 4 Sm 3.53
Pu (0.0000, 0.0000, 0.7453)  4 Pu 3.41, 4 Er 3.46, 4 Sm 3.53
Er (0.5000, 0.5000, 0.5000)  4 Er 3.41, 8 Pu 3.46

Summary:
Theoretical density, g/cm3: 11.331
DFT total energy, eV per atom: -9.300
DFT formation energy, eV/atom: 0.1864
E above lowest polymorph, meV per atom: 0



# 2
Compound: Sm12Er6Pu
Source: the Alexandria database
Functional: PBE-GGA
Structure: relaxed

Cell lengths 9.4683, 9.4683, 9.4683 Å; angles 110.93, 110.93, 110.93 degrees
Last column: nearest neighbours and their distance in Å.
Sites, in units of the cell vectors:
Sm (0.4189, 0.6279, 0.9432)  4 Er 3.56-3.62, 8 Sm 3.57-3.62
Er (0.7883, 0.6848, 0.5303)  4 Er 3.51-3.57, 1 Pu 3.55, 7 Sm 3.56-3.65
Sm (0.6279, 0.9432, 0.4189)  4 Er 3.56-3.62, 8 Sm 3.57-3.62
Sm (0.3721, 0.0568, 0.5811)  4 Er 3.56-3.62, 8 Sm 3.57-3.62
Sm (0.8442, 0.2604, 0.8957)  1 Pu 3.54, 8 Sm 3.54-3.62, 3 Er 3.56-3.65
Er (0.6848, 0.5303, 0.7883)  4 Er 3.51-3.57, 1 Pu 3.55, 7 Sm 3.56-3.65
Er (0.2117, 0.3152, 0.4697)  4 Er 3.51-3.57, 1 Pu 3.55, 7 Sm 3.56-3.65
Sm (0.8957, 0.8442, 0.2604)  1 Pu 3.54, 8 Sm 3.54-3.62, 3 Er 3.56-3.65
Er (0.4697, 0.2117, 0.3152)  4 Er 3.51-3.57, 1 Pu 3.55, 7 Sm 3.56-3.65
Er (0.3152, 0.4697, 0.2117)  4 Er 3.51-3.57, 1 Pu 3.55, 7 Sm 3.56-3.65
Sm (0.9432, 0.4189, 0.6279)  4 Er 3.56-3.62, 8 Sm 3.57-3.62
Sm (0.1043, 0.1558, 0.7396)  1 Pu 3.54, 8 Sm 3.54-3.62, 3 Er 3.56-3.65
Sm (0.0568, 0.5811, 0.3721)  4 Er 3.56-3.62, 8 Sm 3.57-3.62
Er (0.5303, 0.7883, 0.6848)  4 Er 3.51-3.57, 1 Pu 3.55, 7 Sm 3.56-3.65
Sm (0.7396, 0.1043, 0.1558)  1 Pu 3.54, 8 Sm 3.54-3.62, 3 Er 3.56-3.65
Pu (0.0000, 0.0000, 0.0000)  6 Sm 3.54, 6 Er 3.55
Sm (0.5811, 0.3721, 0.0568)  4 Er 3.56-3.62, 8 Sm 3.57-3.62
Sm (0.2604, 0.8957, 0.8442)  1 Pu 3.54, 8 Sm 3.54-3.62, 3 Er 3.56-3.65
Sm (0.1558, 0.7396, 0.1043)  1 Pu 3.54, 8 Sm 3.54-3.62, 3 Er 3.56-3.65

Summary:
Theoretical density, g/cm3: 8.233
DFT total energy, eV per atom: -5.141
DFT formation energy, eV/atom: 0.0349



# 3
Compound: Sm7Er4Pu
Source: the Alexandria database
Functional: PBE-GGA
Structure: relaxed

Cell lengths 7.2044, 9.5219, 11.4217 Å; angles 68.91, 50.89, 40.78 degrees
Last column: nearest neighbours and their distance in Å.
Sites, in units of the cell vectors:
Er (0.6404, 0.2766, 0.3302)  1 Pu 3.52, 8 Sm 3.52-3.62, 3 Er 3.56-3.64
Er (0.8538, 0.7234, 0.6699)  1 Pu 3.51, 8 Sm 3.52-3.63, 3 Er 3.56-3.64
Sm (0.6140, 0.2243, 0.6617)  6 Sm 3.50-3.60, 6 Er 3.54-3.63
Sm (0.1155, 0.2181, 0.6664)  5 Sm 3.51-3.60, 1 Pu 3.53, 6 Er 3.56-3.61
Sm (0.7466, 0.4999, 0.0000)  2 Er 3.52, 8 Sm 3.54-3.65, 2 Pu 3.58
Pu (0.0000, 0.0000, 0.0000)  4 Er 3.51-3.52, 8 Sm 3.53-3.60
Sm (0.5000, 0.0000, 0.0000)  4 Er 3.53-3.54, 6 Sm 3.59-3.61, 2 Pu 3.60
Sm (0.3860, 0.7757, 0.3383)  6 Sm 3.50-3.60, 6 Er 3.54-3.63
Sm (0.2534, 0.5001, 0.0000)  2 Er 3.52, 8 Sm 3.54-3.65, 2 Pu 3.58
Er (0.1462, 0.2766, 0.3301)  1 Pu 3.51, 8 Sm 3.52-3.63, 3 Er 3.56-3.64
Er (0.3596, 0.7234, 0.6698)  1 Pu 3.52, 8 Sm 3.52-3.62, 3 Er 3.56-3.64
Sm (0.8845, 0.7819, 0.3336)  5 Sm 3.51-3.60, 1 Pu 3.53, 6 Er 3.56-3.61

Summary:
Theoretical density, g/cm3: 8.450
DFT total energy, eV per atom: -5.435
DFT formation energy, eV/atom: 0.0329



# 4
Compound: SmErPuSn
Source: the Alexandria database
Functional: PBE-GGA
Structure: relaxed

Cell lengths 5.4268, 5.4268, 5.4268 Å; angles 60.00, 60.00, 60.00 degrees
Last column: nearest neighbours and their distance in Å.
Sites, in units of the cell vectors:
Er (0.7500, 0.7500, 0.7500)  4 Sm 3.32, 4 Pu 3.32
Pu (0.0000, 0.0000, 0.0000)  4 Sn 3.32, 4 Er 3.32
Sn (0.2500, 0.2500, 0.2500)  4 Sm 3.32, 4 Pu 3.32
Sm (0.5000, 0.5000, 0.5000)  4 Er 3.32, 4 Sn 3.32

Summary:
Theoretical density, g/cm3: 9.996
DFT total energy, eV per atom: -7.035
DFT formation energy, eV/atom: -0.1311



# 5
Compound: Tb2Sm6Er3Pu
Source: the Alexandria database
Functional: PBE-GGA
Structure: relaxed

Cell lengths 6.1954, 6.1954, 11.7525 Å; angles 95.04, 95.04, 120.02 degrees
Last column: nearest neighbours and their distance in Å.
Sites, in units of the cell vectors:
Sm (0.9169, 0.5868, 0.7503)  1 Pu 3.54, 6 Sm 3.54-3.59, 3 Er 3.55-3.57, 2 Tb 3.56
Sm (0.4132, 0.0831, 0.2497)  1 Pu 3.54, 6 Sm 3.54-3.59, 3 Er 3.55-3.57, 2 Tb 3.56
Tb (0.3334, 0.6666, 0.0000)  6 Sm 3.55-3.56, 3 Tb 3.58, 3 Pu 3.58
Er (0.1668, 0.8332, 0.5000)  6 Sm 3.55-3.57, 6 Er 3.57-3.58
Sm (0.7531, 0.7531, 0.2495)  1 Pu 3.54, 6 Sm 3.54-3.59, 3 Er 3.55-3.57, 2 Tb 3.55
Sm (0.2469, 0.2469, 0.7505)  1 Pu 3.54, 6 Sm 3.54-3.59, 3 Er 3.55-3.57, 2 Tb 3.55
Er (0.8332, 0.1668, 0.5000)  6 Sm 3.55-3.57, 6 Er 3.57-3.58
Tb (0.6666, 0.3334, 0.0000)  6 Sm 3.55-3.56, 3 Tb 3.58, 3 Pu 3.58
Sm (0.0831, 0.4132, 0.2497)  1 Pu 3.54, 6 Sm 3.54-3.59, 3 Er 3.55-3.57, 2 Tb 3.56
Pu (0.0000, 0.0000, 0.0000)  6 Sm 3.54, 6 Tb 3.58
Er (0.5000, 0.5000, 0.5000)  6 Sm 3.55-3.57, 6 Er 3.58
Sm (0.5868, 0.9169, 0.7503)  1 Pu 3.54, 6 Sm 3.54-3.59, 3 Er 3.55-3.57, 2 Tb 3.56

Summary:
Theoretical density, g/cm3: 8.490
DFT total energy, eV per atom: -5.420
DFT formation energy, eV/atom: 0.0460



# 6
Compound: Tb6Sm2Er3Pu
Source: the Alexandria database
Functional: PBE-GGA
Structure: relaxed

Cell lengths 6.1466, 6.1466, 11.7241 Å; angles 95.04, 95.04, 120.04 degrees
Last column: nearest neighbours and their distance in Å.
Sites, in units of the cell vectors:
Tb (0.9165, 0.5871, 0.7491)  6 Tb 3.51-3.57, 3 Er 3.52-3.54, 1 Pu 3.53, 2 Sm 3.55-3.56
Er (0.8332, 0.1668, 0.5000)  6 Tb 3.52-3.54, 6 Er 3.55
Tb (0.7540, 0.7540, 0.2510)  6 Tb 3.51-3.57, 3 Er 3.52-3.54, 1 Pu 3.54, 2 Sm 3.55
Tb (0.4129, 0.0835, 0.2509)  6 Tb 3.51-3.57, 3 Er 3.52-3.54, 1 Pu 3.53, 2 Sm 3.55-3.56
Tb (0.5871, 0.9165, 0.7491)  6 Tb 3.51-3.57, 3 Er 3.52-3.54, 1 Pu 3.53, 2 Sm 3.55-3.56
Tb (0.2460, 0.2460, 0.7490)  6 Tb 3.51-3.57, 3 Er 3.52-3.54, 1 Pu 3.54, 2 Sm 3.55
Er (0.5000, 0.5000, 0.5000)  6 Tb 3.52-3.54, 6 Er 3.55
Sm (0.3335, 0.6665, 0.0000)  3 Pu 3.55, 3 Sm 3.55, 6 Tb 3.55-3.56
Er (0.1668, 0.8332, 0.5000)  6 Tb 3.52-3.54, 6 Er 3.55
Tb (0.0835, 0.4129, 0.2509)  6 Tb 3.51-3.57, 3 Er 3.52-3.54, 1 Pu 3.53, 2 Sm 3.55-3.56
Sm (0.6665, 0.3335, 0.0000)  3 Pu 3.55, 3 Sm 3.55, 6 Tb 3.55-3.56
Pu (0.0000, 0.0000, 0.0000)  6 Tb 3.53-3.54, 6 Sm 3.55

Summary:
Theoretical density, g/cm3: 8.798
DFT total energy, eV per atom: -5.389
DFT formation energy, eV/atom: 0.0473



# 7
Compound: Sm3Er2PuTe6
Source: the Alexandria database
Functional: PBE-GGA
Structure: relaxed

Cell lengths 4.3659, 8.8545, 9.8633 Å; angles 103.49, 102.79, 90.00 degrees
Last column: nearest neighbours and their distance in Å.
Sites, in units of the cell vectors:
Er (0.1629, 0.3272, 0.3258)  6 Te 3.01-3.11
Sm (0.1642, 0.8337, 0.3285)  6 Te 3.11-3.18
Sm (0.8358, 0.1663, 0.6715)  6 Te 3.11-3.18
Te (0.6708, 0.5768, 0.3417)  3 Er 3.08-3.11, 3 Sm 3.18-3.19
Te (0.0020, 0.2496, 0.0040)  1 Er 3.01, 2 Pu 3.10, 3 Sm 3.11-3.12
Te (0.9980, 0.7504, 0.9960)  1 Er 3.01, 2 Pu 3.10, 3 Sm 3.11-3.12
Te (0.3292, 0.4232, 0.6583)  3 Er 3.08-3.11, 3 Sm 3.18-3.19
Te (0.3325, 0.9099, 0.6650)  2 Er 3.04, 1 Pu 3.13, 3 Sm 3.14
Sm (0.5000, 0.5000, 0.0000)  6 Te 3.12-3.19
Te (0.6675, 0.0901, 0.3350)  2 Er 3.04, 1 Pu 3.13, 3 Sm 3.14
Pu (0.5000, 0.0000, 0.0000)  6 Te 3.10-3.13
Er (0.8371, 0.6728, 0.6742)  6 Te 3.01-3.11

Summary:
Theoretical density, g/cm3: 8.257
Formation energy (no corrections), kJ/mol of atoms: -125.06
DFT total energy, eV per atom: -6.002



# 8
Compound: SmErPu2Te5
Source: the Alexandria database
Functional: PBE-GGA
Structure: relaxed

Cell lengths 5.4859, 5.4859, 11.6714 Å; angles 90.00, 90.00, 90.00 degrees
Last column: nearest neighbours and their distance in Å.
Sites, in units of the cell vectors:
Te (0.5000, 0.5000, 0.0000)  2 Pu 3.74, 4 Sm 3.88
Te (0.0000, 0.5000, 0.5000)  2 Er 2.74
Te (0.0000, 0.0000, 0.2476)  1 Sm 2.89, 1 Er 2.95
Sm (0.0000, 0.0000, 0.0000)  2 Te 2.89
Pu (0.5000, 0.5000, 0.6797)  5 Te 3.45-3.74
Pu (0.5000, 0.5000, 0.3203)  5 Te 3.45-3.74
Te (0.5000, 0.0000, 0.5000)  2 Er 2.74
Er (0.0000, 0.0000, 0.5000)  6 Te 2.74-2.95
Te (0.0000, 0.0000, 0.7524)  1 Sm 2.89, 1 Er 2.95

Summary:
Theoretical density, g/cm3: 6.825
Formation energy (no corrections), kJ/mol of atoms: -68.63
DFT total energy, eV per atom: -6.673



# 9
Compound: Sm3ErPu2Te6
Source: the Alexandria database
Functional: PBE-GGA
Structure: relaxed

Cell lengths 4.3977, 8.8747, 9.8920 Å; angles 103.35, 102.84, 90.00 degrees
Last column: nearest neighbours and their distance in Å.
Sites, in units of the cell vectors:
Pu (0.1660, 0.3333, 0.3320)  6 Te 3.11-3.13
Sm (0.8313, 0.1656, 0.6625)  6 Te 3.13-3.15
Te (0.0009, 0.7574, 0.0018)  2 Er 3.08, 1 Pu 3.13, 3 Sm 3.15-3.17
Te (0.6632, 0.0830, 0.3265)  1 Er 3.06, 2 Pu 3.12, 3 Sm 3.13-3.15
Er (0.5000, 0.0000, 0.0000)  6 Te 3.06-3.08
Te (0.9991, 0.2426, 0.9982)  2 Er 3.08, 1 Pu 3.13, 3 Sm 3.15-3.17
Sm (0.1687, 0.8344, 0.3375)  6 Te 3.13-3.15
Te (0.6674, 0.5821, 0.3347)  3 Pu 3.11-3.12, 3 Sm 3.13-3.14
Pu (0.8340, 0.6667, 0.6680)  6 Te 3.11-3.13
Te (0.3326, 0.4179, 0.6653)  3 Pu 3.11-3.12, 3 Sm 3.13-3.14
Te (0.3368, 0.9170, 0.6735)  1 Er 3.06, 2 Pu 3.12, 3 Sm 3.13-3.15
Sm (0.5000, 0.5000, 0.0000)  6 Te 3.14-3.17

Summary:
Theoretical density, g/cm3: 8.500
Formation energy (no corrections), kJ/mol of atoms: -123.26
DFT total energy, eV per atom: -6.797



# 10
Compound: Sm3Er3PuTe8
Source: the Alexandria database
Functional: PBE-GGA
Structure: relaxed

Cell lengths 8.7329, 8.7328, 8.7554 Å; angles 119.92, 90.00, 120.00 degrees
Last column: nearest neighbours and their distance in Å.
Sites, in units of the cell vectors:
Er (0.5000, 0.5000, 0.5000)  6 Te 3.05
Te (0.2574, 0.9932, 0.7506)  2 Er 3.05, 2 Sm 3.14, 1 Pu 3.18
Te (0.2574, 0.5149, 0.7506)  2 Er 3.05, 2 Sm 3.14, 1 Pu 3.18
Te (0.7466, 0.4933, 0.7399)  3 Er 3.05, 3 Sm 3.13
Er (0.0000, 0.5000, 0.5000)  6 Te 3.05
Sm (0.0000, 0.5000, 0.0000)  6 Te 3.13-3.14
Te (0.7426, 0.4851, 0.2494)  2 Er 3.05, 2 Sm 3.14, 1 Pu 3.18
Sm (0.5000, 0.5000, 0.0000)  6 Te 3.13-3.14
Te (0.7357, 0.9932, 0.7506)  2 Er 3.05, 2 Sm 3.14, 1 Pu 3.18
Te (0.7426, 0.0068, 0.2494)  2 Er 3.05, 2 Sm 3.14, 1 Pu 3.18
Sm (0.0000, 0.0000, 0.0000)  6 Te 3.13-3.14
Te (0.2643, 0.0068, 0.2494)  2 Er 3.05, 2 Sm 3.14, 1 Pu 3.18
Te (0.2534, 0.5067, 0.2601)  3 Er 3.05, 3 Sm 3.13
Er (0.5000, 0.0000, 0.5000)  6 Te 3.05
Pu (0.0000, 0.0000, 0.5000)  6 Te 3.18

Summary:
Theoretical density, g/cm3: 7.790
Formation energy (no corrections), kJ/mol of atoms: -128.01
DFT total energy, eV per atom: -5.814



# 11
Compound: SmErPuTh
Source: the Alexandria database
Functional: PBE-GGA
Structure: relaxed

Cell lengths 5.5879, 5.5879, 5.5879 Å; angles 60.00, 60.00, 60.00 degrees
Last column: nearest neighbours and their distance in Å.
Sites, in units of the cell vectors:
Er (0.0000, 0.0000, 0.0000)  4 Th 3.42, 4 Sm 3.42
Pu (0.5000, 0.5000, 0.5000)  4 Sm 3.42, 4 Th 3.42
Sm (0.2500, 0.2500, 0.2500)  4 Er 3.42, 4 Pu 3.42
Th (0.7500, 0.7500, 0.7500)  4 Er 3.42, 4 Pu 3.42

Summary:
Theoretical density, g/cm3: 10.682
DFT total energy, eV per atom: -7.549
DFT formation energy, eV/atom: 0.2095



# 12
Compound: SmErPuTl
Source: the Alexandria database
Functional: PBE-GGA
Structure: relaxed

Cell lengths 5.4374, 5.4374, 5.4374 Å; angles 60.00, 60.00, 60.00 degrees
Last column: nearest neighbours and their distance in Å.
Sites, in units of the cell vectors:
Er (0.0000, 0.0000, 0.0000)  4 Tl 3.33, 4 Pu 3.33
Sm (0.5000, 0.5000, 0.5000)  4 Pu 3.33, 4 Tl 3.33
Pu (0.7500, 0.7500, 0.7500)  4 Er 3.33, 4 Sm 3.33
Tl (0.2500, 0.2500, 0.2500)  4 Sm 3.33, 4 Er 3.33

Summary:
Theoretical density, g/cm3: 11.190
DFT total energy, eV per atom: -6.449
DFT formation energy, eV/atom: 0.0463



- Which of these has the lowest DFT total energy?
  SmErPu2